# K3U3InSe8

Crystalline K3U3InSe8 at its relaxed geometry (PBE, Alexandria via LeMat-Bulk).

Cell lengths 8.4771, 8.4743, 9.1133 Å; angles 117.70, 90.01, 120.00 degrees
Atoms (fractional coordinates):
K1 0.0000 0.0000 0.0000
K2 0.0000 0.5000 0.0000
K3 0.5000 0.5000 0.0000
U1 0.5000 0.0000 0.5000
U2 0.5000 0.5000 0.5000
U3 0.0000 0.5000 0.5000
In1 0.0000 0.0000 0.5000
Se1 0.2643 0.5286 0.2930
Se2 0.7357 0.4714 0.7070
Se3 0.7616 0.5233 0.3003
Se4 0.2384 0.4767 0.6997
Se5 0.7615 0.0386 0.3001
Se6 0.2385 0.9614 0.6999
Se7 0.2771 0.0386 0.3001
Se8 0.7229 0.9614 0.6999

## Properties
The spin magnetization is 0.49 μB per atom. As for the uncorrected formation energy: -1.134 eV/atom. The calculation puts the calculated total energy at -0.2077 hartree per atom.

=====

# YTePb2

Crystalline YTePb2 at its relaxed geometry (PBE, Alexandria via LeMat-Bulk).

Cell lengths 6.6000, 6.6000, 6.6000 Å; angles 145.94, 131.07, 60.96 degrees
Atoms (fractional coordinates):
Pb1 0.0030 0.0030 0.0000
Pb2 0.7457 0.2457 0.5000
Te1 0.4819 0.4819 0.0000
Y1 0.2693 0.7693 0.5000

## Properties
The spin magnetization is 0.00 μB per atom. As for the uncorrected formation energy: -0.407 eV/atom. The calculation puts the calculated total energy at -0.1714 hartree per atom.

=====

# GdEr2Pt

Crystalline GdEr2Pt at its relaxed geometry (PBE, Alexandria via LeMat-Bulk).

Cell lengths 3.8781, 3.8781, 9.4879 Å; angles 78.21, 78.21, 60.00 degrees
Atoms (fractional coordinates):
Gd1 0.5000 0.5000 0.5000
Pt1 0.0000 0.0000 0.0000
Er1 0.2738 0.2738 0.1786
Er2 0.7262 0.7262 0.8214

## Properties
The spin magnetization is 2.07 μB per atom. As for the formation enthalpy at 0 K: -2.08 eV per formula unit. The calculation puts the polymorph energy (0 for the lowest one) at 99 meV per atom. The calculation puts the calculated total energy at -0.2878 hartree per atom.

=====

# La2Nb2W

Crystalline La2Nb2W at its relaxed geometry (PBE, Alexandria via LeMat-Bulk).

Cell lengths 6.7923, 6.7923, 5.4242 Å; angles 90.00, 90.00, 90.00 degrees
Atoms (fractional coordinates):
Nb1 0.3549 0.8549 0.0000
Nb2 0.8549 0.6451 0.0000
Nb3 0.6451 0.1451 0.0000
Nb4 0.1451 0.3549 0.0000
W1 0.0000 0.0000 0.0000
W2 0.5000 0.5000 0.0000
La1 0.1724 0.6724 0.5000
La2 0.6724 0.8276 0.5000
La3 0.8276 0.3276 0.5000
La4 0.3276 0.1724 0.5000

## Properties
The spin magnetization is 0.00 μB per atom. As for the formation enthalpy at 0 K: 2.38 eV per formula unit. The calculation puts the calculated total energy at -0.2981 hartree per atom.